Computed, not measured: a relaxed DyPaOs crystal at the PBE level of DFT.

Cell: 3.5348 3.5348 6.0186 Å, 107.08 107.08 90.00°
Last column: nearest neighbours and their distance in Å.
Positions (direct):
Pa  0.3038  0.3038  0.6075  4 Os 2.79
Os  0.6899  0.6899  0.3799  4 Pa 2.79
Dy  0.0063  0.0063  0.0126  5 Os 3.21-3.46, 5 Pa 3.26-3.34, 4 Dy 3.53

E_tot: -8.634 eV/atom
space-group type: I4mm, No. 107
density of states at the Fermi level: 2.57 states/eV/f.u.